Entry 1:
VASP calculation (PBE-GGA) on a geometry-optimized Ge3P structure.

a b c (Å): 3.613 5.252 4.051
angles (deg): 90.00 90.00 90.00
Element x y z (fractional)
Ge (0.000, 0.000, 0.000)
Ge (0.000, 0.500, 0.100)
Ge (0.500, 0.000, 0.514)
P (0.500, 0.500, 0.498)

Results
Energy relative to the lowest polymorph listed for this composition   0.000 eV per atom
Energy of formation   70 kJ/mol of formula units

---

Entry 2:
VASP calculation (PBE-GGA) on a geometry-optimized AlSn2GeOs structure.

a b c (Å): 5.303 5.303 4.632
angles (deg): 90.00 90.00 90.00
Element x y z (fractional)
Al (0.000, 0.000, 0.000)
Sn (0.000, 0.500, 0.500)
Sn (0.500, 0.000, 0.500)
Ge (0.500, 0.500, 0.500)
Os (0.500, 0.500, 0.000)

Results
Energy of formation   522 kJ/mol of formula units

---

Entry 3:
VASP calculation (PBE-GGA) on a geometry-optimized HoGa4CuIr2 structure.

a b c (Å): 8.748 8.748 8.748
angles (deg): 28.23 28.23 28.23
Element x y z (fractional)
Ho (0.000, 0.000, 0.000)
Ga (0.132, 0.132, 0.132)
Ga (0.398, 0.398, 0.398)
Ga (0.602, 0.602, 0.602)
Ga (0.868, 0.868, 0.868)
Cu (0.500, 0.500, 0.500)
Ir (0.237, 0.237, 0.237)
Ir (0.763, 0.763, 0.763)

Results
Energy of formation   -334 kJ/mol of formula units

---

Entry 4:
VASP calculation (PBE-GGA) on a geometry-optimized Zr5Ag structure.

a b c (Å): 11.537 3.175 7.575
angles (deg): 90.00 105.21 90.00
Element x y z (fractional)
Zr (0.000, 0.000, 0.000)
Zr (0.021, 0.000, 0.608)
Zr (0.161, 0.500, 0.355)
Zr (0.213, 0.500, 0.929)
Zr (0.378, 0.000, 0.263)
Zr (0.500, 0.500, 0.000)
Zr (0.521, 0.500, 0.608)
Zr (0.661, 0.000, 0.355)
Zr (0.713, 0.000, 0.929)
Zr (0.878, 0.500, 0.263)
Ag (0.313, 0.000, 0.666)
Ag (0.813, 0.500, 0.666)

Results
Energy relative to the lowest polymorph listed for this composition   0.042 eV per atom
Energy of formation   9 kJ/mol of formula units